[1]
A plane-wave DFT calculation with PBE-GGA was carried out for a relaxed structure of LiCd2Ag6.

The value obtained for the formation energy is -0.02 eV/atom. The calculation puts the energy relative to the lowest polymorph listed for this composition at 66 meV per atom. As for the energy: -2.338 eV per atom. Its total magnetization is 0.00 μB per atom.

It has space group C2/m (No. 12), with a = 14.309 Å, b = 8.121 Å, c = 2.890 Å, α = 90.00°, β = 90.67° and γ = 90.00°. Symmetry generates all atoms from Li at (0.000, 0.000, 0.000), Cd at (0.184, 0.500, 0.495), Ag at (0.000, 0.316, 0.500) and Ag at (0.158, 0.176, 0.004).

[2]
A plane-wave DFT calculation with PBE-GGA was carried out for a relaxed structure of Li5Cd2Ag6.

The value obtained for the formation energy is -0.15 eV/atom. As for the energy: -2.338 eV per atom. Its total magnetization is 0.00 μB per atom.

It has space group Pbam (No. 55), with a = 9.560 Å, b = 16.119 Å, c = 2.979 Å, α = 90.00°, β = 90.00° and γ = 90.00°. Symmetry generates all atoms from Li at (0.000, 0.000, 0.000), Li at (0.097, 0.276, 0.000), Li at (0.197, 0.552, 0.000), Cd at (0.157, 0.715, 0.500), Ag at (0.059, 0.419, 0.500), Ag at (0.073, 0.135, 0.500) and Ag at (0.187, 0.881, 0.000).

[3]
A plane-wave DFT calculation with PBE-GGA was carried out for a relaxed structure of LiCd3Ag7.

The value obtained for the formation energy is 0.06 eV/atom. The calculation puts the energy relative to the lowest polymorph listed for this composition at 0 meV per atom. As for the energy: -2.175 eV per atom. Its total magnetization is 0.00 μB per atom.

It has space group C2/m (No. 12), with a = 9.746 Å, b = 9.956 Å, c = 5.093 Å, α = 90.00°, β = 116.28° and γ = 90.00°. Symmetry generates all atoms from Li at (0.000, 0.000, 0.000), Cd at (0.000, 0.284, 0.500), Cd at (0.000, 0.500, 0.000), Ag at (0.000, 0.000, 0.500), Ag at (0.170, 0.258, 0.170) and Ag at (0.221, 0.500, 0.587).

[4]
A plane-wave DFT calculation with PBE-GGA was carried out for a relaxed structure of LiCd8Ag6.

The value obtained for the formation energy is -0.04 eV/atom. As for the energy: -1.796 eV per atom. Its total magnetization is 0.00 μB per atom.

It has space group R-3 (No. 148, hexagonal axes), with a = 8.1032 Å, b = 8.1032 Å, c = 17.1363 Å, α = 90.00°, β = 90.00° and γ = 120.00°. Symmetry generates all atoms from Li at (0.0000, 0.0000, 0.0000), Cd at (0.0000, 0.0000, 0.3351), Cd at (0.0023, 0.3305, 0.1218) and Ag at (0.0010, 0.3243, 0.9540).